Record 1
A relaxed structure of KDyNO, computed with PBE-GGA.

## Properties
mass density	4.6	g/cm³
excess energy over the best structure of this formula in the dataset	0.093	eV/atom

Cell lengths 6.0934, 6.0945, 9.0466 Å; angles 90.00, 90.13, 90.00 degrees
Space group Cm (No. 8)
Symmetry-distinct sites (fractional):
K  0.0000  0.2489  0.0000 [4 per cell]
Dy  0.2613  0.5000  0.5899 [2 per cell]
Dy  0.2618  0.0000  0.4102 [2 per cell]
N  0.2479  0.5000  0.8294 [2 per cell]
N  0.2544  0.0000  0.1705 [2 per cell]
O  0.0127  0.2499  0.5000 [4 per cell]


Record 2
A relaxed structure of AcNiAs2, computed with PBE-GGA.

## Properties
mass density	8.6	g/cm³
energy	-5.63	eV/atom

Cell lengths 4.4324, 16.4472, 4.6041 Å; angles 90.00, 90.00, 90.00 degrees
Space group Cmcm (No. 63)
Symmetry-distinct sites (fractional):
Ac  0.0000  0.1079  0.2500 [4 per cell]
Ni  0.0000  0.3122  0.2500 [4 per cell]
As  0.0000  0.2495  0.7500 [4 per cell]
As  0.0000  0.4589  0.2500 [4 per cell]


Record 3
A relaxed structure of LiTbZnTe3, computed with PBE-GGA.

## Properties
mass density	5.9	g/cm³
excess energy over the best structure of this formula in the dataset	0.020	eV/atom

Cell lengths 4.2273, 14.3431, 11.4971 Å; angles 90.00, 90.00, 90.00 degrees
Space group Cmcm (No. 63)
Symmetry-distinct sites (fractional):
Li  0.0000  0.2062  0.2500 [4 per cell]
Tb  0.0000  0.0000  0.0000 [4 per cell]
Zn  0.0000  0.4772  0.7500 [4 per cell]
Te  0.0000  0.0941  0.7500 [4 per cell]
Te  0.0000  0.3554  0.5737 [8 per cell]


Record 4
A relaxed structure of ZnCdIn2, computed with PBE-GGA.

## Properties
mass density	7.2	g/cm³
energy	-1.79	eV/atom

Cell lengths 7.2048, 7.2048, 7.2048 Å; angles 90.00, 90.00, 90.00 degrees
Space group F-43m (No. 216)
Symmetry-distinct sites (fractional):
Zn  0.0000  0.0000  0.0000 [4 per cell]
Cd  0.2500  0.2500  0.2500 [4 per cell]
In  0.0000  0.0000  0.5000 [4 per cell]
In  0.2500  0.2500  0.7500 [4 per cell]


Record 5
A relaxed structure of PmAsCl2O2, computed with PBE-GGA.

## Properties
mass density	5.4	g/cm³
energy	-5.70	eV/atom

Cell lengths 3.7829, 3.7829, 6.9564 Å; angles 90.00, 90.00, 90.00 degrees
Space group P4mm (No. 99)
Symmetry-distinct sites (fractional):
Pm  0.0000  0.0000  0.0000 [1 per cell]
As  0.5000  0.5000  0.6643 [1 per cell]
Cl  0.0000  0.0000  0.4281 [1 per cell]
Cl  0.5000  0.5000  0.1577 [1 per cell]
O  0.0000  0.5000  0.7981 [2 per cell]


Record 6
A relaxed structure of RbW2S2Br6, computed with PBE-GGA.

## Properties
mass density	4.9	g/cm³
energy	-4.74	eV/atom

Cell lengths 4.5822, 10.9845, 13.5085 Å; angles 90.00, 90.00, 90.00 degrees
Space group Immm (No. 71)
Symmetry-distinct sites (fractional):
Rb  0.0000  0.0000  0.0000 [2 per cell]
W  0.0000  0.1380  0.5000 [4 per cell]
S  0.0000  0.3593  0.0000 [4 per cell]
Br  0.0000  0.0000  0.3459 [4 per cell]
Br  0.0000  0.3121  0.3689 [8 per cell]


Copy entry 4 word for word.
A relaxed structure of ZnCdIn2, computed with PBE-GGA.

## Properties
mass density	7.2	g/cm³
energy	-1.79	eV/atom

Cell lengths 7.2048, 7.2048, 7.2048 Å; angles 90.00, 90.00, 90.00 degrees
Space group F-43m (No. 216)
Symmetry-distinct sites (fractional):
Zn  0.0000  0.0000  0.0000 [4 per cell]
Cd  0.2500  0.2500  0.2500 [4 per cell]
In  0.0000  0.0000  0.5000 [4 per cell]
In  0.2500  0.2500  0.7500 [4 per cell]


Question: The lowest mass density belongs to which entry?
Answer: KDyNO


Question: Look up the mass density of the first one.
Answer: 4.6 g/cm³